# 1
Computed, not measured: a relaxed PdClF2 crystal at the GGA-PBE level of DFT. Values from VASP.

- crystal system = trigonal
- symmetry = R-3m, No. 166
- E_form (uncorrected) (kJ/mol of atoms) = -37.78

```
&SYSTEM
  ibrav = 0, nat = 4, ntyp = 3
/
ATOMIC_SPECIES
F 19.00 F.upf
Pd 106.42 Pd.upf
Cl 35.45 Cl.upf
CELL_PARAMETERS angstrom
1.617 0.000 10.087
-0.808 1.400 10.087
-0.808 -1.400 10.087
ATOMIC_POSITIONS angstrom
F 0.000 0.000 28.371
F 0.000 0.000 1.890
Pd 0.000 0.000 0.000
Cl 0.000 0.000 15.131
```

=====

# 2
Computed, not measured: a relaxed TlHgPt crystal at the GGA-PBE level of DFT. Values from VASP.

- crystal system = trigonal
- symmetry = P3m1, No. 156
- electronic total energy (eV/cell) = -8.222

```
&SYSTEM
  ibrav = 0, nat = 3, ntyp = 3
/
ATOMIC_SPECIES
Hg 200.59 Hg.upf
Pt 195.08 Pt.upf
Tl 204.38 Tl.upf
CELL_PARAMETERS angstrom
-0.634 3.810 2.906
-1.156 -4.433 1.541
3.044 -0.387 1.171
ATOMIC_POSITIONS angstrom
Hg 0.332 -0.042 0.128
Pt -0.115 -1.796 2.329
Tl 1.037 0.828 3.161
```

=====

# 3
Computed, not measured: a relaxed LiNiI crystal at the GGA-PBE level of DFT. Values from VASP.

- crystal system = cubic
- symmetry = F-43m, No. 216
- E_form (uncorrected) (kJ/mol of atoms) = -18.18

```
&SYSTEM
  ibrav = 0, nat = 3, ntyp = 3
/
ATOMIC_SPECIES
I 126.90 I.upf
Ni 58.69 Ni.upf
Li 6.94 Li.upf
CELL_PARAMETERS angstrom
-1.367 2.108 3.403
-3.850 -0.782 1.567
-0.410 -2.001 3.704
ATOMIC_POSITIONS angstrom
I -2.814 -0.338 4.337
Ni -1.407 -0.169 2.168
Li 0.000 0.000 0.000
```

=====

# 4
Computed, not measured: a relaxed Zn3NiHg crystal at the GGA-PBE level of DFT. Values from VASP.

- crystal system = cubic
- symmetry = Pm-3m, No. 221
- electronic total energy (eV/cell) = -5.221

```
&SYSTEM
  ibrav = 0, nat = 5, ntyp = 3
/
ATOMIC_SPECIES
Ni 58.69 Ni.upf
Zn 65.41 Zn.upf
Hg 200.59 Hg.upf
CELL_PARAMETERS angstrom
-4.387 2.217 -0.537
-1.638 -3.872 -2.602
-1.587 -2.131 4.170
ATOMIC_POSITIONS angstrom
Ni -3.806 -1.893 0.515
Zn -0.819 -1.936 -1.301
Zn -0.794 -1.065 2.085
Zn -2.193 1.108 -0.269
Hg 0.000 0.000 0.000
```

=====

# 5
Computed, not measured: a relaxed TcSbNO2 crystal at the GGA-PBE level of DFT. Values from VASP.

- crystal system = tetragonal
- symmetry = P4/mmm, No. 123
- E_form (uncorrected) (kJ/mol of atoms) = 30.66

```
&SYSTEM
  ibrav = 0, nat = 5, ntyp = 4
/
ATOMIC_SPECIES
Sb 121.76 Sb.upf
Tc 98.00 Tc.upf
O 16.00 O.upf
N 14.01 N.upf
CELL_PARAMETERS angstrom
-0.882 3.303 2.045
-0.369 -2.159 3.328
4.014 0.568 0.814
ATOMIC_POSITIONS angstrom
Sb 0.000 0.000 0.000
Tc 1.381 0.856 3.093
O -0.185 -1.079 1.664
O -0.441 1.652 1.022
N 2.007 0.284 0.407
```

=====

# 6
Computed, not measured: a relaxed CaHg2 crystal at the GGA-PBE level of DFT. Values from VASP.

- crystal system = tetragonal
- symmetry = I4/mmm, No. 139
- electronic total energy (eV/cell) = -3.955

```
&SYSTEM
  ibrav = 0, nat = 3, ntyp = 2
/
ATOMIC_SPECIES
Ca 40.08 Ca.upf
Hg 200.59 Hg.upf
CELL_PARAMETERS angstrom
-5.320 -1.993 0.032
-1.036 -5.569 0.427
3.110 4.007 2.558
ATOMIC_POSITIONS angstrom
Ca -3.178 -3.781 0.229
Hg -1.076 -1.280 0.078
Hg -5.280 -6.282 0.381
```

=====

# 7
Computed, not measured: a relaxed RbTcSn2Hg crystal at the GGA-PBE level of DFT. Values from VASP.

- crystal system = tetragonal
- symmetry = P4/mmm, No. 123
- electronic total energy (eV/cell) = -19.716

```
&SYSTEM
  ibrav = 0, nat = 5, ntyp = 4
/
ATOMIC_SPECIES
Tc 98.00 Tc.upf
Hg 200.59 Hg.upf
Rb 85.47 Rb.upf
Sn 118.71 Sn.upf
CELL_PARAMETERS angstrom
-0.584 2.359 4.576
4.485 -2.028 1.618
2.724 4.464 -1.954
ATOMIC_POSITIONS angstrom
Tc 0.000 0.000 0.000
Hg 1.362 2.232 -0.977
Rb 3.313 2.398 2.120
Sn 2.243 -1.014 0.809
Sn -0.292 1.180 2.288
```

=====

# 8
Computed, not measured: a relaxed ErBeGePt3 crystal at the GGA-PBE level of DFT. Values from VASP.

- crystal system = orthorhombic
- symmetry = Cmcm, No. 63
- electronic total energy (eV/cell) = -70.884

```
&SYSTEM
  ibrav = 0, nat = 12, ntyp = 4
/
ATOMIC_SPECIES
Er 167.26 Er.upf
Be 9.01 Be.upf
Ge 72.64 Ge.upf
Pt 195.08 Pt.upf
CELL_PARAMETERS angstrom
5.522 0.000 0.000
0.000 6.393 0.000
0.000 -3.196 5.910
ATOMIC_POSITIONS angstrom
Er 4.142 0.000 3.333
Er 1.381 3.196 2.577
Be 1.381 3.196 5.565
Be 4.142 0.000 0.346
Ge 1.381 0.000 4.355
Ge 4.142 3.196 1.556
Pt 1.381 0.000 1.979
Pt 0.000 1.759 0.000
Pt 2.761 4.633 0.000
Pt 2.761 1.759 0.000
Pt 0.000 4.633 0.000
Pt 4.142 3.196 3.931
```

=====

# 9
Computed, not measured: a relaxed ScIn2Hg crystal at the GGA-PBE level of DFT. Values from VASP.

- crystal system = tetragonal
- symmetry = I-4m2, No. 119
- electronic total energy (eV/cell) = -13.040

```
&SYSTEM
  ibrav = 0, nat = 4, ntyp = 3
/
ATOMIC_SPECIES
Sc 44.96 Sc.upf
Hg 200.59 Hg.upf
In 114.82 In.upf
CELL_PARAMETERS angstrom
-5.209 1.437 -1.822
-1.992 -3.307 -4.197
2.341 -0.971 5.108
ATOMIC_POSITIONS angstrom
Sc -3.602 -0.935 -3.010
Hg -1.625 -2.606 -1.048
In -7.201 -1.870 -6.018
In -3.235 -0.235 0.138
```

=====

# 10
Computed, not measured: a relaxed TiCd2As crystal at the GGA-PBE level of DFT. Values from VASP.

- crystal system = cubic
- symmetry = Fm-3m, No. 225
- electronic total energy (eV/cell) = -13.018

```
&SYSTEM
  ibrav = 0, nat = 4, ntyp = 3
/
ATOMIC_SPECIES
As 74.92 As.upf
Ti 47.87 Ti.upf
Cd 112.41 Cd.upf
CELL_PARAMETERS angstrom
-2.218 -4.282 1.048
-0.998 -1.180 4.686
-4.670 -0.035 1.595
ATOMIC_POSITIONS angstrom
As -3.943 -2.748 3.665
Ti 0.000 0.000 0.000
Cd -1.971 -1.374 1.832
Cd -5.914 -4.122 5.497
```

=====

# 11
Computed, not measured: a relaxed ScTa2Au crystal at the GGA-PBE level of DFT. Values from VASP.

- crystal system = trigonal
- symmetry = R-3m, No. 166
- electronic total energy (eV/cell) = -32.699

```
&SYSTEM
  ibrav = 0, nat = 4, ntyp = 3
/
ATOMIC_SPECIES
Au 196.97 Au.upf
Sc 44.96 Sc.upf
Ta 180.95 Ta.upf
CELL_PARAMETERS angstrom
9.994 0.002 0.001
9.543 2.966 0.001
9.543 1.450 2.588
ATOMIC_POSITIONS angstrom
Au 7.270 1.104 0.647
Sc 21.810 3.313 1.942
Ta 28.997 4.405 2.582
Ta 14.623 2.221 1.302
```

=====

# 12
Computed, not measured: a relaxed MgTcGe4 crystal at the GGA-PBE level of DFT. Values from VASP.

- crystal system = tetragonal
- symmetry = I4/mcm, No. 140
- electronic total energy (eV/cell) = -62.586

```
&SYSTEM
  ibrav = 0, nat = 12, ntyp = 3
/
ATOMIC_SPECIES
Mg 24.30 Mg.upf
Tc 98.00 Tc.upf
Ge 72.64 Ge.upf
CELL_PARAMETERS angstrom
5.648 0.000 -2.881
-1.470 5.453 -2.881
-0.015 -0.020 6.947
ATOMIC_POSITIONS angstrom
Mg 2.089 2.727 -2.881
Mg 0.000 0.000 0.000
Tc 1.037 1.353 2.033
Tc 3.126 4.080 -0.848
Ge 2.822 -0.002 0.610
Ge -1.169 4.330 -0.238
Ge 0.926 2.725 -0.238
Ge 3.237 2.709 1.423
Ge 5.332 1.104 1.423
Ge 1.341 5.436 0.575
Ge 0.111 3.830 2.271
Ge 4.052 1.603 -1.086
```

=====

# 13
Computed, not measured: a relaxed Se2SI crystal at the GGA-PBE level of DFT. Values from VASP.

- crystal system = trigonal
- symmetry = R-3m, No. 166
- E_form (uncorrected) (kJ/mol of atoms) = 37.77

```
&SYSTEM
  ibrav = 0, nat = 4, ntyp = 3
/
ATOMIC_SPECIES
I 126.90 I.upf
S 32.06 S.upf
Se 78.96 Se.upf
CELL_PARAMETERS angstrom
4.351 6.340 3.864
7.147 3.479 3.297
6.178 5.983 0.279
ATOMIC_POSITIONS angstrom
I 0.000 0.000 0.000
S 8.838 7.901 3.720
Se 15.696 14.033 6.606
Se 1.979 1.769 0.833
```